Compound: Fe2Pd2O7
Source: the Alexandria database
Functional: PBE+U
Structure: optimized geometry

Lattice parameters (Å, degrees): 5.839 9.522 5.518 90.00 100.70 90.00
Space group C2/m (No. 12)
Symmetry-distinct sites (fractional):
1 Fe 0.000 0.189 0.000 x4
2 Pd 0.233 0.500 0.311 x4
3 O 0.000 0.500 0.500 x2
4 O 0.035 0.000 0.206 x4
5 O 0.243 0.301 0.209 x8

## Properties
**Total magnetization**: 9.70 μB per formula unit
**Mass density**: 4809 kg/m³
**Total DFT energy (no corrections)**: -0.415 Ry per atom